Record 1
First-principles (GGA-PBE) data for a relaxed structure of TlZnBiSe3, as listed in Alexandria via LeMat-Bulk.

- Formation energy (no corrections): -499.0 meV per atom

Unit cell a=9.2196 b=4.1920 c=9.6883 alpha=90.00 beta=104.35 gamma=90.00
Last column: nearest neighbours and their distance in Å.
Space group P2_1/m (No. 11)
Symmetry-distinct sites (fractional):
Tl (0.1911, 0.2500, 0.2230) (multiplicity 2)  7 Se 3.27-3.58
Zn (0.0828, 0.2500, 0.6022) (multiplicity 2)  4 Se 2.49-2.56
Bi (0.3346, 0.7500, 0.8625) (multiplicity 2)  5 Se 2.81-3.00
Se (0.1111, 0.2500, 0.8644) (multiplicity 2)  1 Zn 2.49
Se (0.1966, 0.7500, 0.5233) (multiplicity 2)  3 Zn 2.54-2.56
Se (0.4395, 0.7500, 0.1611) (multiplicity 2)  3 Bi 2.81-3.00


Record 2
First-principles (GGA-PBE) data for a relaxed structure of RbV2CuRh, as listed in Alexandria via LeMat-Bulk.

- Formation energy: 86.5 kJ per mole of atoms

Unit cell a=4.7620 b=4.7620 c=5.1503 alpha=90.00 beta=90.00 gamma=90.00
Last column: nearest neighbours and their distance in Å.
Space group P4/mmm (No. 123)
Symmetry-distinct sites (fractional):
Rb (0.0000, 0.0000, 0.0000) (multiplicity 1)  4 Cu 3.37, 8 V 3.51
V (0.0000, 0.5000, 0.5000) (multiplicity 2)  2 Rh 2.38
Cu (0.5000, 0.5000, 0.0000) (multiplicity 1)  2 Rh 2.58
Rh (0.5000, 0.5000, 0.5000) (multiplicity 1)  4 V 2.38, 2 Cu 2.58


Record 3
First-principles (GGA-PBE) data for a relaxed structure of Ca2Zn6In, as listed in Alexandria via LeMat-Bulk.

- Formation energy: -23.8 kJ per mole of atoms

Unit cell a=5.8297 b=5.8297 c=6.1388 alpha=90.00 beta=90.00 gamma=120.00
Last column: nearest neighbours and their distance in Å.
Space group P-3m1 (No. 164)
Symmetry-distinct sites (fractional):
Ca (0.3333, 0.6667, 0.1454) (multiplicity 2)  12 Zn 3.18-3.45, 3 In 3.48
Zn (0.1811, 0.3622, 0.6487) (multiplicity 6)  4 Zn 2.58-2.66, 1 In 2.83
In (0.0000, 0.0000, 0.0000) (multiplicity 1)  6 Zn 2.83


Record 4
First-principles (GGA-PBE) data for a relaxed structure of Zr2TeSe, as listed in Alexandria via LeMat-Bulk.

- Formation energy (no corrections): -869.2 meV per atom
- Relative energy among the computed polymorphs: 168 meV/atom

Unit cell a=4.0939 b=4.0939 c=19.4776 alpha=90.00 beta=90.00 gamma=120.00
Last column: nearest neighbours and their distance in Å.
Space group R-3m (No. 166, hexagonal axes)
Symmetry-distinct sites (fractional):
Zr (0.0000, 0.0000, 0.2286) (multiplicity 6)  3 Se 2.65
Te (0.0000, 0.0000, 0.0000) (multiplicity 3)  6 Zr 3.12
Se (0.0000, 0.0000, 0.5000) (multiplicity 3)  6 Zr 2.65


Record 5
First-principles (GGA-PBE) data for a relaxed structure of GaNiSn2Pb, as listed in Alexandria via LeMat-Bulk.

- Formation energy: 2.2 kJ per mole of atoms

Unit cell a=5.1375 b=5.1375 c=4.6222 alpha=90.00 beta=90.00 gamma=90.00
Last column: nearest neighbours and their distance in Å.
Space group P4/mmm (No. 123)
Symmetry-distinct sites (fractional):
Ga (0.0000, 0.0000, 0.0000) (multiplicity 1)  2 Ni 2.31
Ni (0.0000, 0.0000, 0.5000) (multiplicity 1)  2 Ga 2.31, 4 Sn 2.57
Sn (0.0000, 0.5000, 0.5000) (multiplicity 2)  2 Ni 2.57
Pb (0.5000, 0.5000, 0.0000) (multiplicity 1)  8 Sn 3.46, 4 Ga 3.63


Record 6
First-principles (GGA-PBE) data for a relaxed structure of SbCNO2, as listed in Alexandria via LeMat-Bulk.

- Formation energy (no corrections): 1417.6 meV per atom

Unit cell a=3.8621 b=3.8621 c=4.1338 alpha=90.00 beta=90.00 gamma=90.00
Last column: nearest neighbours and their distance in Å.
Space group P4/mmm (No. 123)
Symmetry-distinct sites (fractional):
Sb (0.0000, 0.0000, 0.0000) (multiplicity 1)  4 O 1.93, 2 N 2.07
C (0.5000, 0.5000, 0.5000) (multiplicity 1)  4 N 2.73, 8 O 2.83
N (0.0000, 0.0000, 0.5000) (multiplicity 1)  2 Sb 2.07
O (0.0000, 0.5000, 0.0000) (multiplicity 2)  2 Sb 1.93


Record 7
First-principles (GGA-PBE) data for a relaxed structure of PmScUO6, as listed in Alexandria via LeMat-Bulk.

- Formation energy (no corrections): -3345.0 meV per atom

Unit cell a=5.5933 b=5.5933 c=9.8294 alpha=90.00 beta=90.00 gamma=120.00
Last column: nearest neighbours and their distance in Å.
Space group P-31c (No. 163)
Symmetry-distinct sites (fractional):
Pm (0.0000, 0.0000, 0.0000) (multiplicity 2)  6 O 2.41
Sc (0.3333, 0.6667, 0.2500) (multiplicity 2)  6 O 2.13
U (0.3333, 0.6667, 0.7500) (multiplicity 2)  6 O 2.09
O (0.0047, 0.3569, 0.6391) (multiplicity 12)  1 U 2.09, 1 Sc 2.13


Record 8
First-principles (GGA-PBE) data for a relaxed structure of Mn2ZnOs, as listed in Alexandria via LeMat-Bulk.

- Formation energy: 10.8 kJ per mole of atoms

Unit cell a=2.7006 b=3.6828 c=5.2321 alpha=90.00 beta=90.00 gamma=90.00
Last column: nearest neighbours and their distance in Å.
Space group Pmmm (No. 47)
Symmetry-distinct sites (fractional):
Mn (0.0000, 0.0000, 0.2399) (multiplicity 2)  4 Mn 2.51-2.72, 4 Os 2.61, 4 Zn 2.66
Zn (0.5000, 0.5000, 0.5000) (multiplicity 1)  2 Os 2.62, 8 Mn 2.66, 2 Zn 2.70
Os (0.5000, 0.5000, 0.0000) (multiplicity 1)  8 Mn 2.61, 2 Zn 2.62, 2 Os 2.70


Sequential mass density output: 6.6 5.0 5.4 6.9 7.8 4.8 6.5 11.7 g/cm3